1.
This record from Alexandria describes crystalline TlCd2As at its relaxed geometry. The functional is PBE-GGA.

Structure (CIF):
```
data_TlCd2As
_chemical_formula_sum 'Tl2 Cd4 As2'
_cell_length_a 4.4065
_cell_length_b 4.8690
_cell_length_c 9.1281
_cell_angle_alpha 90.00
_cell_angle_beta 90.00
_cell_angle_gamma 90.00
_symmetry_space_group_name_H-M 'C m m 2'
_symmetry_Int_Tables_number 35
loop_
_symmetry_equiv_pos_as_xyz
'x,y,z'
'-x,-y,z'
'-x,y,z'
'x,-y,z'
'x+1/2,y+1/2,z'
'-x+1/2,-y+1/2,z'
'-x+1/2,y+1/2,z'
'x+1/2,-y+1/2,z'
loop_
_atom_site_label
_atom_site_type_symbol
_atom_site_fract_x
_atom_site_fract_y
_atom_site_fract_z
Tl1 Tl 0.0000 0.0000 0.0000
Cd1 Cd 0.0000 0.0000 0.5260
Cd2 Cd 0.0000 0.5000 0.2884
As1 As 0.0000 0.5000 0.7372
```

Calculated values
The energy above the most stable polymorph in this dataset comes out at 0.1051 eV per atom.

=====

2.
This record from Alexandria describes crystalline TbErAlHg at its relaxed geometry. The functional is PBE-GGA.

Structure (CIF):
```
data_TbErAlHg
_chemical_formula_sum 'Tb4 Er4 Al4 Hg4'
_cell_length_a 7.3487
_cell_length_b 7.3487
_cell_length_c 7.3487
_cell_angle_alpha 90.00
_cell_angle_beta 90.00
_cell_angle_gamma 90.00
_symmetry_space_group_name_H-M 'F -4 3 m'
_symmetry_Int_Tables_number 216
_symmetry_space_group_name_Hall 'F -4 2 3'
loop_
_atom_site_label
_atom_site_type_symbol
_atom_site_fract_x
_atom_site_fract_y
_atom_site_fract_z
Tb1 Tb 0.0000 0.0000 0.0000
Er1 Er 0.0000 0.0000 0.5000
Al1 Al 0.2500 0.2500 0.2500
Hg1 Hg 0.2500 0.2500 0.7500
```

Calculated values
The energy above the most stable polymorph in this dataset comes out at 0.0347 eV per atom.

=====

3.
This record from Alexandria describes crystalline LaCr2Re at its relaxed geometry. The functional is PBE-GGA.

Structure (CIF):
```
data_LaCr2Re
_chemical_formula_sum 'La1 Cr2 Re1'
_cell_length_a 3.0777
_cell_length_b 3.0777
_cell_length_c 7.5576
_cell_angle_alpha 90.00
_cell_angle_beta 90.00
_cell_angle_gamma 90.00
_symmetry_space_group_name_H-M 'P 4/m m m'
_symmetry_Int_Tables_number 123
_symmetry_space_group_name_Hall '-P 4 2'
loop_
_atom_site_label
_atom_site_type_symbol
_atom_site_fract_x
_atom_site_fract_y
_atom_site_fract_z
La1 La 0.0000 0.0000 0.0000
Cr1 Cr 0.5000 0.5000 0.3157
Re1 Re 0.0000 0.0000 0.5000
```

Calculated values
The energy above the most stable polymorph in this dataset comes out at 0.0000 eV per atom.

=====

4.
This record from Alexandria describes crystalline Pa6TiNb2 at its relaxed geometry. The functional is PBE-GGA.

Structure (CIF):
```
data_Pa6TiNb2
_chemical_formula_sum 'Pa6 Ti1 Nb2'
_cell_length_a 8.7665
_cell_length_b 8.7665
_cell_length_c 2.9587
_cell_angle_alpha 90.00
_cell_angle_beta 90.00
_cell_angle_gamma 120.00
_symmetry_space_group_name_H-M 'P 6/m m m'
_symmetry_Int_Tables_number 191
_symmetry_space_group_name_Hall '-P 6 2'
loop_
_atom_site_label
_atom_site_type_symbol
_atom_site_fract_x
_atom_site_fract_y
_atom_site_fract_z
Pa1 Pa 0.0000 0.3313 0.0000
Ti1 Ti 0.0000 0.0000 0.5000
Nb1 Nb 0.3333 0.6667 0.5000
```

Calculated values
The calculation puts the total DFT energy (no corrections) at -9.4250 eV/atom.